PBEsol TaRuAu, relaxed; total magnetic moment = 0.0 μB per cell; calculated formation energy = -0.18 eV/atom
1.0
3.298 0.000 0.000
0.000 3.298 0.000
-1.649 -1.649 4.411
Ru Au Ta
1 1 1
direct
0.319 0.319 0.637
0.002 0.002 0.004
0.680 0.680 0.359